First-principles (SCAN) data for CrAsPS2 at its PBEsol-relaxed geometry, as listed in Alexandria via LeMat-Bulk.

E_tot	-13.177	eV/atom
uncorrected formation energy	469	meV/atom
mass density	4.3	g cm⁻³

a b c (Å): 4.2327 4.2327 4.8113
angles (deg): 90.00 90.00 90.00
Element x y z (fractional)
1 S 0.0000 0.5000 0.0000
2 S 0.5000 0.0000 0.0000
3 Cr 0.0000 0.0000 0.0000
4 As 0.5000 0.5000 0.5000
5 P 0.0000 0.0000 0.5000